(1)
An optimized crystal structure of YErCo2Ge4. Source: OQMD, functional PBE.

Computed properties:
raw total energy: -6.0925 eV/atom
spin magnetization: 0.00 μB/cell
space-group type: Amm2 (38)

a = 4.1185 Å, b = 8.5933 Å, c = 8.5933 Å
α = 27.70°, β = 90.00°, γ = 90.00°
Element x y z (fractional)
Co (0.0000, 0.3200, 0.3200)
Co (0.5000, 0.6796, 0.6796)
Er (0.0000, 0.1101, 0.1101)
Ge (0.5000, 0.2500, 0.2500)
Ge (0.0000, 0.4555, 0.4555)
Ge (0.5000, 0.5450, 0.5450)
Ge (0.0000, 0.7491, 0.7491)
Y (0.5000, 0.8907, 0.8907)

---

(2)
An optimized crystal structure of Na2InHg. Source: OQMD, functional PBE.

Computed properties:
raw total energy: -1.6078 eV/atom
space-group type: Pmma (51)

a = 5.1524 Å, b = 5.1736 Å, c = 7.3814 Å
α = 90.00°, β = 90.00°, γ = 90.00°
Element x y z (fractional)
Hg (0.2500, 0.0000, 0.1298)
Hg (0.7500, 0.0000, 0.8702)
In (0.2500, 0.5000, 0.3782)
In (0.7500, 0.5000, 0.6218)
Na (0.7500, 0.5000, 0.1157)
Na (0.7500, 0.0000, 0.3652)
Na (0.2500, 0.0000, 0.6348)
Na (0.2500, 0.5000, 0.8843)

---

(3)
An optimized crystal structure of Na2TcHgS4. Source: OQMD, functional PBE.

Computed properties:
raw total energy: -4.2317 eV/atom
spin magnetization: 1.00 μB/cell
space-group type: I-4 (82)

a = 7.0492 Å, b = 7.0492 Å, c = 7.0492 Å
α = 127.18°, β = 127.18°, γ = 77.96°
Site moments in Bohr magnetons follow the coordinates.
Element x y z (fractional)
Hg (0.0000, 0.0000, 0.0000)  0.00
Na (0.5000, 0.5000, 0.0000)  0.00
Na (0.7500, 0.2500, 0.5000)  0.01
S (0.1472, 0.6623, 0.0824)  0.03
S (0.3377, 0.4201, 0.4849)  0.03
S (0.9352, 0.8528, 0.5151)  0.03
S (0.5799, 0.0648, 0.9176)  0.03
Tc (0.2500, 0.7500, 0.5000)  0.68

---

(4)
An optimized crystal structure of TbScZn2Ga2. Source: OQMD, functional PBE.

Computed properties:
raw total energy: -3.8106 eV/atom
spin magnetization: 0.14 μB/cell
space-group type: P-3m1 (164)

a = 4.3609 Å, b = 4.3609 Å, c = 6.9166 Å
α = 90.00°, β = 90.00°, γ = 120.00°
Element x y z (fractional)
Ga (0.6667, 0.3333, 0.2308)
Ga (0.3333, 0.6667, 0.7692)
Sc (0.0000, 0.0000, 0.0000)
Tb (0.0000, 0.0000, 0.5000)
Zn (0.3333, 0.6667, 0.2179)
Zn (0.6667, 0.3333, 0.7821)

---

(5)
An optimized crystal structure of HoLu2Fe9. Source: OQMD, functional PBE.

Computed properties:
spin magnetization: 15.50 μB/cell
space-group type: R-3m (166)
ΔE_f: -0.1249 eV per atom

a = 8.4853 Å, b = 8.4853 Å, c = 8.4853 Å
α = 34.31°, β = 34.31°, γ = 34.31°
Site moments in Bohr magnetons follow the coordinates.
Element x y z (fractional)
Fe (0.5831, 0.5831, 0.0812)  1.82
Fe (0.3329, 0.3329, 0.3329)  2.15
Fe (0.9188, 0.4169, 0.4169)  1.79
Fe (0.4169, 0.9188, 0.4169)  1.91
Fe (0.5000, 0.5000, 0.5000)  1.64
Fe (0.5831, 0.0812, 0.5831)  1.91
Fe (0.0812, 0.5831, 0.5831)  1.79
Fe (0.6671, 0.6671, 0.6671)  2.15
Fe (0.4169, 0.4169, 0.9188)  1.82
Ho (0.0000, 0.0000, 0.0000)  -0.43
Lu (0.1421, 0.1421, 0.1421)  -0.47
Lu (0.8579, 0.8579, 0.8579)  -0.47

---

(6)
An optimized crystal structure of GdZn2Ni3. Source: OQMD, functional PBE.

Computed properties:
spin magnetization: 0.00 μB/cell
space-group type: P6/mmm (191)
ΔE_f: -0.3851 eV per atom

a = 5.1509 Å, b = 5.1509 Å, c = 3.8882 Å
α = 90.00°, β = 90.00°, γ = 120.00°
Element x y z (fractional)
Gd (0.0000, 0.0000, 0.0000)
Ni (0.5000, 0.0000, 0.5000)
Ni (0.0000, 0.5000, 0.5000)
Ni (0.5000, 0.5000, 0.5000)
Zn (0.6667, 0.3333, 0.0000)
Zn (0.3333, 0.6667, 0.0000)

---

(7)
An optimized crystal structure of GeIrNO. Source: OQMD, functional PBE.

Computed properties:
spin magnetization: 0.01 μB/cell
polymorph energy (0 for the lowest one): 0.0 meV per atom
space-group type: Pmc2_1 (26)

a = 3.0388 Å, b = 4.9759 Å, c = 6.7650 Å
α = 90.00°, β = 90.00°, γ = 90.00°
Element x y z (fractional)
Ge (0.5000, 0.9793, 0.1392)
Ge (0.5000, 0.4793, 0.8608)
Ir (0.0000, 0.5679, 0.4590)
Ir (0.0000, 0.0679, 0.5410)
N (0.0000, 0.8751, 0.2671)
N (0.0000, 0.3751, 0.7329)
O (0.5000, 0.3317, 0.1011)
O (0.5000, 0.8317, 0.8989)

---

(8)
An optimized crystal structure of NaYHg. Source: OQMD, functional PBE.

Computed properties:
spin magnetization: 0.02 μB/cell
polymorph energy (0 for the lowest one): 288.4 meV per atom
space-group type: F-43m (216)

a = 5.0896 Å, b = 5.0896 Å, c = 5.0896 Å
α = 60.00°, β = 60.00°, γ = 60.00°
Element x y z (fractional)
Hg (0.2500, 0.2500, 0.2500)
Na (0.7500, 0.7500, 0.7500)
Y (0.0000, 0.0000, 0.0000)

---

(9)
An optimized crystal structure of PmBi. Source: OQMD, functional PBE.

Computed properties:
spin magnetization: 0.00 μB/cell
polymorph energy (0 for the lowest one): 266.4 meV per atom
space-group type: P-6m2 (187)

a = 4.2166 Å, b = 4.2163 Å, c = 4.2220 Å
α = 90.00°, β = 90.00°, γ = 120.00°
Element x y z (fractional)
Bi (0.6667, 0.3334, 0.7500)
Pm (0.3333, 0.6666, 0.2500)

---

(10)
An optimized crystal structure of CsPrGa. Source: OQMD, functional PBE.

Computed properties:
raw total energy: -2.3448 eV/atom
spin magnetization: 0.04 μB/cell
space-group type: F-43m (216)

a = 5.4653 Å, b = 5.4653 Å, c = 5.4653 Å
α = 60.00°, β = 60.00°, γ = 60.00°
Element x y z (fractional)
Cs (0.2500, 0.2500, 0.2500)
Ga (0.7500, 0.7500, 0.7500)
Pr (0.0000, 0.0000, 0.0000)

---

(11)
An optimized crystal structure of BaDyGa4Au2. Source: OQMD, functional PBE.

Computed properties:
raw total energy: -3.6622 eV/atom
spin magnetization: 0.01 μB/cell
space-group type: Amm2 (38)

a = 6.8524 Å, b = 5.8567 Å, c = 5.8567 Å
α = 47.51°, β = 90.00°, γ = 90.00°
Element x y z (fractional)
Au (0.0000, 0.3011, 0.3011)
Au (0.5000, 0.6991, 0.6991)
Ba (0.0000, 0.5925, 0.5925)
Dy (0.5000, 0.3962, 0.3962)
Ga (0.3110, 0.1247, 0.1247)
Ga (0.6890, 0.1247, 0.1247)
Ga (0.2040, 0.8808, 0.8808)
Ga (0.7960, 0.8808, 0.8808)

---

(12)
An optimized crystal structure of NdGd2Mg3Ir3. Source: OQMD, functional PBE.

Computed properties:
raw total energy: -5.6740 eV/atom
spin magnetization: 0.01 μB/cell
space-group type: Amm2 (38)

a = 4.0952 Å, b = 7.3409 Å, c = 7.3409 Å
α = 120.10°, β = 90.00°, γ = 90.00°
Element x y z (fractional)
Gd (0.0000, 0.5912, 0.0002)
Gd (0.0000, 0.0002, 0.5912)
Ir (0.5000, 0.6704, 0.3314)
Ir (0.5000, 0.3314, 0.6704)
Ir (0.0000, 0.9964, 0.9964)
Mg (0.5000, 0.9980, 0.2423)
Mg (0.5000, 0.7582, 0.7582)
Mg (0.5000, 0.2423, 0.9980)
Nd (0.0000, 0.4119, 0.4119)

---

(13)
An optimized crystal structure of NbZnFeB. Source: OQMD, functional PBE.

Computed properties:
spin magnetization: 1.68 μB/cell
polymorph energy (0 for the lowest one): 0.0 meV per atom
space-group type: F-43m (216)

a = 4.1106 Å, b = 4.1106 Å, c = 4.1106 Å
α = 60.00°, β = 60.00°, γ = 60.00°
Element x y z (fractional)
B (0.0000, 0.0000, 0.0000)
Fe (0.7500, 0.7500, 0.7500)
Nb (0.2500, 0.2500, 0.2500)
Zn (0.5000, 0.5000, 0.5000)

---

(14)
An optimized crystal structure of Cu2BiPd. Source: OQMD, functional PBE.

Computed properties:
raw total energy: -4.1236 eV/atom
space-group type: F-43m (216)

a = 4.5659 Å, b = 4.5659 Å, c = 4.5659 Å
α = 60.00°, β = 60.00°, γ = 60.00°
Element x y z (fractional)
Bi (0.5000, 0.5000, 0.5000)
Cu (0.0000, 0.0000, 0.0000)
Cu (0.7500, 0.7500, 0.7500)
Pd (0.2500, 0.2500, 0.2500)

---

(15)
An optimized crystal structure of Bi2Ir. Source: OQMD, functional PBE.

Computed properties:
raw total energy: -5.6115 eV/atom
spin magnetization: 0.00 μB/cell
space-group type: Fm-3m (225)

a = 4.7580 Å, b = 4.7580 Å, c = 4.7580 Å
α = 60.00°, β = 60.00°, γ = 60.00°
Element x y z (fractional)
Bi (0.2500, 0.2500, 0.2500)
Bi (0.7500, 0.7500, 0.7500)
Ir (0.0000, 0.0000, 0.0000)

---

(16)
An optimized crystal structure of Sr2SnHg. Source: OQMD, functional PBE.

Computed properties:
polymorph energy (0 for the lowest one): 58.9 meV per atom
space-group type: P4/mmm (123)

a = 5.6222 Å, b = 5.6222 Å, c = 4.0686 Å
α = 90.00°, β = 90.00°, γ = 90.00°
Element x y z (fractional)
Hg (0.0000, 0.0000, 0.0000)
Sn (0.5000, 0.5000, 0.0000)
Sr (0.5000, 0.0000, 0.5000)
Sr (0.0000, 0.5000, 0.5000)

---

(17)
An optimized crystal structure of HfAsAu2. Source: OQMD, functional PBE.

Computed properties:
raw total energy: -5.5171 eV/atom
spin magnetization: 0.02 μB/cell
space-group type: F-43m (216)

a = 4.7074 Å, b = 4.7074 Å, c = 4.7074 Å
α = 60.00°, β = 60.00°, γ = 60.00°
Element x y z (fractional)
As (0.5000, 0.5000, 0.5000)
Au (0.0000, 0.0000, 0.0000)
Au (0.7500, 0.7500, 0.7500)
Hf (0.2500, 0.2500, 0.2500)

---

(18)
An optimized crystal structure of BeCu2Os. Source: OQMD, functional PBE.

Computed properties:
raw total energy: -5.3105 eV/atom
spin magnetization: 0.36 μB/cell
space-group type: F-43m (216)

a = 4.0266 Å, b = 4.0266 Å, c = 4.0266 Å
α = 60.00°, β = 60.00°, γ = 60.00°
Site moments in Bohr magnetons follow the coordinates.
Element x y z (fractional)
Be (0.5000, 0.5000, 0.5000)  -0.01
Cu (0.0000, 0.0000, 0.0000)  0.04
Cu (0.7500, 0.7500, 0.7500)  0.03
Os (0.2500, 0.2500, 0.2500)  0.27

---

(19)
An optimized crystal structure of NaTcAgSe2S. Source: OQMD, functional PBE.

Computed properties:
raw total energy: -4.5267 eV/atom
spin magnetization: 5.59 μB/cell
space-group type: Cmcm (63)

a = 7.0234 Å, b = 7.0234 Å, c = 9.9761 Å
α = 90.00°, β = 90.00°, γ = 148.95°
Site moments in Bohr magnetons follow the coordinates.
Element x y z (fractional)
Ag (0.0593, 0.9407, 0.2500)  0.09
Ag (0.9407, 0.0593, 0.7500)  0.09
Na (0.7578, 0.2422, 0.2500)  0.01
Na (0.2422, 0.7578, 0.7500)  0.01
S (0.4336, 0.5664, 0.2500)  0.05
S (0.5664, 0.4336, 0.7500)  0.05
Se (0.1337, 0.8663, 0.0173)  0.08
Se (0.1337, 0.8663, 0.4827)  0.08
Se (0.8663, 0.1337, 0.5173)  0.08
Se (0.8663, 0.1337, 0.9827)  0.08
Tc (0.5000, 0.5000, 0.0000)  2.12
Tc (0.5000, 0.5000, 0.5000)  2.12

---

(20)
An optimized crystal structure of Lu2TaSn. Source: OQMD, functional PBE.

Computed properties:
raw total energy: -6.1105 eV/atom
spin magnetization: 1.03 μB/cell
space-group type: F-43m (216)

a = 5.0393 Å, b = 5.0393 Å, c = 5.0393 Å
α = 60.00°, β = 60.00°, γ = 60.00°
Site moments in Bohr magnetons follow the coordinates.
Element x y z (fractional)
Lu (0.0000, 0.0000, 0.0000)  0.30
Lu (0.7500, 0.7500, 0.7500)  0.01
Sn (0.5000, 0.5000, 0.5000)  -0.03
Ta (0.2500, 0.2500, 0.2500)  0.48

---

(21)
An optimized crystal structure of ErCuPbSeS2. Source: OQMD, functional PBE.

Computed properties:
raw total energy: -5.0223 eV/atom
spin magnetization: 0.01 μB/cell
space-group type: Cmcm (63)

a = 6.9406 Å, b = 6.9406 Å, c = 10.4647 Å
α = 90.00°, β = 90.00°, γ = 147.07°
Element x y z (fractional)
Cu (0.0333, 0.9667, 0.2500)
Cu (0.9667, 0.0333, 0.7500)
Er (0.5000, 0.5000, 0.0000)
Er (0.5000, 0.5000, 0.5000)
Pb (0.7324, 0.2676, 0.2500)
Pb (0.2676, 0.7324, 0.7500)
S (0.1323, 0.8677, 0.0674)
S (0.1323, 0.8677, 0.4326)
S (0.8677, 0.1323, 0.5674)
S (0.8677, 0.1323, 0.9326)
Se (0.4151, 0.5849, 0.2500)
Se (0.5849, 0.4151, 0.7500)

---

(22)
An optimized crystal structure of TbNd2Sn7. Source: OQMD, functional PBE.

Computed properties:
raw total energy: -4.8016 eV/atom
spin magnetization: 0.00 μB/cell
space-group type: Cmmm (65)

a = 13.6769 Å, b = 13.6769 Å, c = 4.5134 Å
α = 90.00°, β = 90.00°, γ = 161.30°
Element x y z (fractional)
Nd (0.6874, 0.3126, 0.5000)
Nd (0.3126, 0.6874, 0.5000)
Sn (0.7872, 0.2128, 0.0000)
Sn (0.5948, 0.4052, 0.0000)
Sn (0.4052, 0.5948, 0.0000)
Sn (0.2128, 0.7872, 0.0000)
Sn (0.9057, 0.0943, 0.5000)
Sn (0.5000, 0.5000, 0.5000)
Sn (0.0943, 0.9057, 0.5000)
Tb (0.0000, 0.0000, 0.0000)

---

(23)
An optimized crystal structure of SmUIn. Source: OQMD, functional PBE.

Computed properties:
spin magnetization: 4.01 μB/cell
polymorph energy (0 for the lowest one): 0.0 meV per atom
space-group type: F-43m (216)

a = 5.1569 Å, b = 5.1569 Å, c = 5.1569 Å
α = 60.00°, β = 60.00°, γ = 60.00°
Element x y z (fractional)
In (0.2500, 0.2500, 0.2500)
Sm (0.7500, 0.7500, 0.7500)
U (0.0000, 0.0000, 0.0000)

---

(24)
An optimized crystal structure of Sc2GaOs. Source: OQMD, functional PBE.

Computed properties:
raw total energy: -6.7125 eV/atom
spin magnetization: 0.01 μB/cell
space-group type: P6_3/mmc (194)

a = 4.7899 Å, b = 4.7899 Å, c = 7.6508 Å
α = 90.00°, β = 90.00°, γ = 120.00°
Element x y z (fractional)
Ga (0.0000, 0.0000, 0.0000)
Ga (0.0000, 0.0000, 0.5000)
Os (0.3333, 0.6667, 0.2500)
Os (0.6667, 0.3333, 0.7500)
Sc (0.6667, 0.3333, 0.0800)
Sc (0.6667, 0.3333, 0.4200)
Sc (0.3333, 0.6667, 0.5800)
Sc (0.3333, 0.6667, 0.9200)

---

(25)
An optimized crystal structure of ZrInFeHg. Source: OQMD, functional PBE.

Computed properties:
spin magnetization: 1.68 μB/cell
polymorph energy (0 for the lowest one): 0.0 meV per atom
space-group type: F-43m (216)

a = 4.7812 Å, b = 4.7812 Å, c = 4.7812 Å
α = 60.00°, β = 60.00°, γ = 60.00°
Element x y z (fractional)
Fe (0.7500, 0.7500, 0.7500)
Hg (0.2500, 0.2500, 0.2500)
In (0.0000, 0.0000, 0.0000)
Zr (0.5000, 0.5000, 0.5000)

---

(26)
An optimized crystal structure of Er3Zn3Cu2Pd. Source: OQMD, functional PBE.

Computed properties:
spin magnetization: 0.01 μB/cell
space-group type: P-62m (189)
ΔE_f: -0.4604 eV per atom

a = 7.1177 Å, b = 7.1177 Å, c = 3.8199 Å
α = 90.00°, β = 90.00°, γ = 120.00°
Element x y z (fractional)
Cu (0.6667, 0.3333, 0.5000)
Cu (0.3333, 0.6667, 0.5000)
Er (0.4095, 0.0000, 0.0000)
Er (0.0000, 0.4095, 0.0000)
Er (0.5905, 0.5905, 0.0000)
Pd (0.0000, 0.0000, 0.0000)
Zn (0.7459, 0.0000, 0.5000)
Zn (0.2541, 0.2541, 0.5000)
Zn (0.0000, 0.7459, 0.5000)

---

(27)
An optimized crystal structure of ZrZnFeRe. Source: OQMD, functional PBE.

Computed properties:
spin magnetization: 3.02 μB/cell
polymorph energy (0 for the lowest one): 0.0 meV per atom
space-group type: F-43m (216)
ΔE_f: 0.1940 eV per atom

a = 4.4776 Å, b = 4.4776 Å, c = 4.4776 Å
α = 60.00°, β = 60.00°, γ = 60.00°
Element x y z (fractional)
Fe (0.7500, 0.7500, 0.7500)
Re (0.5000, 0.5000, 0.5000)
Zn (0.0000, 0.0000, 0.0000)
Zr (0.2500, 0.2500, 0.2500)